1.
A plane-wave DFT calculation with SCAN was carried out for a crystal of Hf4AgPd relaxed with PBEsol.

Symmetry   P4/mmm
Density of states at the Fermi level   3.39 states/eV per cell
Energy of formation from the pure elements   -0.35 eV/atom
Energy   -52.82 eV per atom
Theoretical density   13.3 g/cm3
Crystal system   tetragonal

a = 3.2025 Å, b = 3.2025 Å, c = 11.2628 Å
α = 90.00°, β = 90.00°, γ = 90.00°
Closest atoms and distances in Å follow each position.
Sites, in units of the cell vectors:
Ag (0.0000, 0.0000, 0.0000)  8 Hf 2.96, 4 Ag 3.20
Hf (0.0000, 0.0000, 0.6532)  4 Pd 2.85, 4 Hf 3.02
Hf (0.0000, 0.0000, 0.3468)  4 Pd 2.85, 4 Hf 3.02
Hf (0.5000, 0.5000, 0.1693)  4 Ag 2.96, 8 Hf 3.02-3.20
Pd (0.5000, 0.5000, 0.5000)  8 Hf 2.85
Hf (0.5000, 0.5000, 0.8307)  4 Ag 2.96, 8 Hf 3.02-3.20

2.
A plane-wave DFT calculation with SCAN was carried out for a crystal of HfAgPd relaxed with PBEsol.

Symmetry   Cmcm
Density of states at the Fermi level   1.78 states/eV per cell
Energy of formation from the pure elements   -0.57 eV/atom
Energy   -42.84 eV per atom
Theoretical density   12.8 g/cm3
Crystal system   orthorhombic

a = 4.8660 Å, b = 4.9569 Å, c = 4.8683 Å
α = 90.00°, β = 90.00°, γ = 119.39°
Closest atoms and distances in Å follow each position.
Sites, in units of the cell vectors:
Ag (0.9255, 0.8510, 0.7500)  2 Ag 2.75, 5 Hf 2.83-2.91, 3 Pd 2.84-2.85
Hf (0.7408, 0.4816, 0.2500)  5 Pd 2.74-2.91, 5 Ag 2.83-2.91
Hf (0.2592, 0.5184, 0.7500)  5 Pd 2.74-2.91, 5 Ag 2.83-2.91
Pd (0.4039, 0.8078, 0.2500)  5 Hf 2.74-2.91, 3 Ag 2.84-2.85, 2 Pd 2.95
Ag (0.0745, 0.1490, 0.2500)  2 Ag 2.75, 5 Hf 2.83-2.91, 3 Pd 2.84-2.85
Pd (0.5961, 0.1922, 0.7500)  5 Hf 2.74-2.91, 3 Ag 2.84-2.85, 2 Pd 2.95

3.
A plane-wave DFT calculation with SCAN was carried out for a crystal of Hf2AgPt2 relaxed with PBEsol.

Symmetry   P4/mbm
Density of states at the Fermi level   5.23 states/eV per cell
Energy of formation from the pure elements   -1.00 eV/atom
Energy   -60.42 eV per atom
Theoretical density   15.7 g/cm3
Crystal system   tetragonal

a = 3.2298 Å, b = 7.4932 Å, c = 7.4932 Å
α = 90.00°, β = 90.00°, γ = 90.00°
Closest atoms and distances in Å follow each position.
Sites, in units of the cell vectors:
Hf (0.5000, 0.1666, 0.6666)  6 Pt 2.67-2.77
Ag (0.0000, 0.0000, 0.0000)  4 Pt 2.93, 8 Hf 3.23, 2 Ag 3.23
Hf (0.5000, 0.3334, 0.1666)  6 Pt 2.67-2.77
Hf (0.5000, 0.8334, 0.3334)  6 Pt 2.67-2.77
Ag (0.0000, 0.5000, 0.5000)  4 Pt 2.93, 8 Hf 3.23, 2 Ag 3.23
Pt (0.0000, 0.1324, 0.3676)  6 Hf 2.67-2.77, 1 Pt 2.81, 2 Ag 2.93
Pt (0.0000, 0.8676, 0.6324)  6 Hf 2.67-2.77, 1 Pt 2.81, 2 Ag 2.93
Pt (0.0000, 0.6324, 0.1324)  6 Hf 2.67-2.77, 1 Pt 2.81, 2 Ag 2.93
Hf (0.5000, 0.6666, 0.8334)  6 Pt 2.67-2.77
Pt (0.0000, 0.3676, 0.8676)  6 Hf 2.67-2.77, 1 Pt 2.81, 2 Ag 2.93

4.
A plane-wave DFT calculation with SCAN was carried out for a crystal of RbHfAg3 relaxed with PBEsol.

Symmetry   Pm-3m
Density of states at the Fermi level   3.80 states/eV per cell
Energy of formation from the pure elements   0.73 eV/atom
Energy   -34.77 eV per atom
Theoretical density   6.4 g/cm3
Crystal system   cubic

a = 5.3365 Å, b = 5.3365 Å, c = 5.3365 Å
α = 90.00°, β = 90.00°, γ = 90.00°
Closest atoms and distances in Å follow each position.
Sites, in units of the cell vectors:
Ag (0.0000, 0.5000, 0.0000)  2 Hf 2.67
Rb (0.5000, 0.5000, 0.5000)  12 Ag 3.77
Ag (0.0000, 0.0000, 0.5000)  2 Hf 2.67
Hf (0.0000, 0.0000, 0.0000)  6 Ag 2.67
Ag (0.5000, 0.0000, 0.0000)  2 Hf 2.67